Version w
Below is a crystal of Ta2CoMo relaxed with PBEsol, with properties calculated at the SCAN level.

Cell lengths 4.4090, 4.4090, 4.4090 Å; angles 60.00, 60.00, 60.00 degrees
Last column: nearest neighbours and their distance in Å.
Atoms (fractional coordinates):
Mo  0.5000  0.5000  0.5000  8 Ta 2.70
Co  0.0000  0.0000  0.0000  8 Ta 2.70
Ta  0.2500  0.2500  0.2500  4 Mo 2.70, 4 Co 2.70
Ta  0.7500  0.7500  0.7500  4 Co 2.70, 4 Mo 2.70

## Properties
total magnetization = 1.1 Bohr magnetons per cell

Version x
Below is a crystal of Ta2CoMo relaxed with PBEsol, with properties calculated at the SCAN level.

Cell lengths 3.1535, 3.1535, 6.0689 Å; angles 90.00, 90.00, 90.00 degrees
Last column: nearest neighbours and their distance in Å.
Atoms (fractional coordinates):
Mo  0.5000  0.5000  0.5000  8 Ta 2.72, 2 Co 3.03
Co  0.5000  0.5000  0.0000  8 Ta 2.67
Ta  0.0000  0.0000  0.7570  4 Co 2.67, 4 Mo 2.72, 1 Ta 2.95
Ta  0.0000  0.0000  0.2430  4 Co 2.67, 4 Mo 2.72, 1 Ta 2.95

## Properties
total magnetization = 1.3 Bohr magnetons per cell

Version y
Below is a crystal of Ta2CoMo relaxed with PBEsol, with properties calculated at the SCAN level.

Cell lengths 2.7285, 4.2798, 5.2651 Å; angles 90.00, 98.61, 90.00 degrees
Last column: nearest neighbours and their distance in Å.
Atoms (fractional coordinates):
Mo  0.0000  0.5000  0.5000  4 Ta 2.66, 2 Mo 2.73, 2 Co 2.78
Co  0.5000  0.5000  0.0000  4 Ta 2.65, 2 Co 2.73, 2 Mo 2.78
Ta  0.7533  0.0000  0.7523  2 Co 2.65, 2 Mo 2.66, 4 Ta 2.73-2.81
Ta  0.2467  0.0000  0.2477  2 Co 2.65, 2 Mo 2.66, 4 Ta 2.73-2.81

## Properties
total magnetization = 1.6 Bohr magnetons per cell

Question: which arrangement is favored energetically? Ranking from most to least stable: version x, version w, version y.